Crystalline PuCu2Au4 at its relaxed geometry. Source: Alexandria via LeMat-Bulk, functional PBE.

Cell and atoms, written as POSCAR:
```
PuCu2Au4
1.0
4.617 0.015 2.487
2.155 4.960 1.560
-0.014 -0.356 5.617
Pu Cu Au
1 2 4
Direct
0.000 0.000 0.000
0.250 0.500 0.500
0.750 0.500 0.500
0.699 0.601 0.000
0.301 0.399 0.000
0.301 0.000 0.399
0.699 0.000 0.601
```

Calculated values
Its density of states at the Fermi level is 15.691 states/eV/f.u. The raw total energy comes out at -5.31 eV/atom. Its energy of formation is -1.50 eV/f.u.